1:
# LiTbHo, relaxed, DFT GGA-PBE
data_LiTbHo
_space_group_name_H-M_alt 'I 4 m m'
_space_group_IT_number 107
_space_group_name_Hall 'I 4 -2'
_cell_length_a 3.626
_cell_length_b 3.626
_cell_length_c 12.590
_cell_angle_alpha 90.00
_cell_angle_beta 90.00
_cell_angle_gamma 90.00
loop_
_atom_site_label
_atom_site_fract_x
_atom_site_fract_y
_atom_site_fract_z
_atom_site_occupancy
Li1 0.000 0.000 0.000 1
Tb1 0.000 0.000 0.344 1
Ho1 0.000 0.000 0.653 1
# Magnetization in μB per formula unit: 0.07
# V in Å³/atom: 27.6

=====

2:
# LiTbHo, relaxed, DFT GGA-PBE
data_LiTbHo
_space_group_name_H-M_alt 'P 3 m 1'
_space_group_IT_number 156
_space_group_name_Hall 'P 3 -2"'
_cell_length_a 3.4645
_cell_length_b 3.4645
_cell_length_c 8.3162
_cell_angle_alpha 90.00
_cell_angle_beta 90.00
_cell_angle_gamma 120.00
loop_
_atom_site_label
_atom_site_fract_x
_atom_site_fract_y
_atom_site_fract_z
_atom_site_occupancy
Li1 0.0000 0.0000 0.0000 1
Tb1 0.6667 0.3333 0.3324 1
Ho1 0.3333 0.6667 0.6710 1
# Magnetization in μB per formula unit: 0.00
# V in Å³/atom: 28.8

=====

3:
# LiTbHo, relaxed, DFT GGA-PBE
data_LiTbHo
_space_group_name_H-M_alt 'P 4/n m m'
_space_group_IT_number 129
_cell_length_a 3.587
_cell_length_b 3.587
_cell_length_c 12.827
_cell_angle_alpha 90.00
_cell_angle_beta 90.00
_cell_angle_gamma 90.00
loop_
_space_group_symop_operation_xyz
'x,y,z'
'-x,-y,-z'
'-y+1/2,x,z'
'y+1/2,-x,-z'
'-x+1/2,-y+1/2,z'
'x+1/2,y+1/2,-z'
'y,-x+1/2,z'
'-y,x+1/2,-z'
'x+1/2,-y,-z'
'-x+1/2,y,z'
'-y,-x,-z'
'y,x,z'
'-x,y+1/2,-z'
'x,-y+1/2,z'
'y+1/2,x+1/2,-z'
'-y+1/2,-x+1/2,z'
loop_
_atom_site_label
_atom_site_fract_x
_atom_site_fract_y
_atom_site_fract_z
_atom_site_occupancy
Li1 0.250 0.250 0.051 1
Tb1 0.250 0.250 0.782 1
Ho1 0.250 0.250 0.403 1
# Magnetization in μB per formula unit: 0.00
# V in Å³/atom: 27.5

=====

4:
# LiTbHo, relaxed, DFT GGA-PBE
data_LiTbHo
_space_group_name_H-M_alt 'C 1 2/m 1'
_space_group_IT_number 12
_space_group_name_Hall '-C 2y'
_cell_length_a 9.438
_cell_length_b 5.465
_cell_length_c 6.628
_cell_angle_alpha 90.00
_cell_angle_beta 90.47
_cell_angle_gamma 90.00
loop_
_atom_site_label
_atom_site_fract_x
_atom_site_fract_y
_atom_site_fract_z
_atom_site_occupancy
Li1 0.167 0.000 0.000 1
Tb1 0.167 0.000 0.500 1
Ho1 0.002 0.500 0.743 1
# Magnetization in μB per formula unit: 0.00
# V in Å³/atom: 28.5

=====

Which one sits at the top of the stability order? 3 does.

=====

1:
# LiTb2Ho, relaxed, DFT GGA-PBE
data_LiTb2Ho
_space_group_name_H-M_alt 'P 4/m m m'
_space_group_IT_number 123
_space_group_name_Hall '-P 4 2'
_cell_length_a 3.600
_cell_length_b 3.600
_cell_length_c 8.851
_cell_angle_alpha 90.00
_cell_angle_beta 90.00
_cell_angle_gamma 90.00
loop_
_atom_site_label
_atom_site_fract_x
_atom_site_fract_y
_atom_site_fract_z
_atom_site_occupancy
Li1 0.000 0.000 0.000 1
Tb1 0.500 0.500 0.226 1
Ho1 0.000 0.000 0.500 1
# Magnetization in μB per formula unit: 0.00
# V in Å³/atom: 28.7

=====

2:
# LiTb2Ho, relaxed, DFT GGA-PBE
data_LiTb2Ho
_space_group_name_H-M_alt 'R 3 m'
_space_group_IT_number 160
_space_group_name_Hall 'R 3 -2"'
_cell_length_a 3.4957
_cell_length_b 3.4957
_cell_length_c 33.6518
_cell_angle_alpha 90.00
_cell_angle_beta 90.00
_cell_angle_gamma 120.00
loop_
_atom_site_label
_atom_site_fract_x
_atom_site_fract_y
_atom_site_fract_z
_atom_site_occupancy
Li1 0.0000 0.0000 0.0000 1
Tb1 0.0000 0.0000 0.2515 1
Tb2 0.0000 0.0000 0.4155 1
Ho1 0.0000 0.0000 0.8335 1
# Magnetization in μB per formula unit: 0.00
# V in Å³/atom: 29.7

=====

3:
# LiTb2Ho, relaxed, DFT GGA-PBE
data_LiTb2Ho
_space_group_name_H-M_alt 'R -3 m'
_space_group_IT_number 166
_space_group_name_Hall '-R 3 2"'
_cell_length_a 3.4568
_cell_length_b 3.4568
_cell_length_c 36.4304
_cell_angle_alpha 90.00
_cell_angle_beta 90.00
_cell_angle_gamma 120.00
loop_
_atom_site_label
_atom_site_fract_x
_atom_site_fract_y
_atom_site_fract_z
_atom_site_occupancy
Li1 0.0000 0.0000 0.0000 1
Tb1 0.0000 0.0000 0.0890 1
Ho1 0.0000 0.0000 0.5000 1
# Magnetization in μB per formula unit: 0.00
# V in Å³/atom: 31.4

=====

Which one sits at the top of the stability order? 1 does.

=====

1:
# LiTb2Ho, relaxed, DFT GGA-PBE
data_LiTb2Ho
_space_group_name_H-M_alt 'P 4/m m m'
_space_group_IT_number 123
_space_group_name_Hall '-P 4 2'
_cell_length_a 5.584
_cell_length_b 5.584
_cell_length_c 3.741
_cell_angle_alpha 90.00
_cell_angle_beta 90.00
_cell_angle_gamma 90.00
loop_
_atom_site_label
_atom_site_fract_x
_atom_site_fract_y
_atom_site_fract_z
_atom_site_occupancy
Li1 0.000 0.000 0.000 1
Tb1 0.000 0.500 0.500 1
Ho1 0.500 0.500 0.000 1
# Magnetization in μB per formula unit: 0.00
# V in Å³/atom: 29.2

=====

2:
# LiTb2Ho, relaxed, DFT GGA-PBE
data_LiTb2Ho
_space_group_name_H-M_alt 'F m -3 m'
_space_group_IT_number 225
_space_group_name_Hall '-F 4 2 3'
_cell_length_a 7.742
_cell_length_b 7.742
_cell_length_c 7.742
_cell_angle_alpha 90.00
_cell_angle_beta 90.00
_cell_angle_gamma 90.00
loop_
_atom_site_label
_atom_site_fract_x
_atom_site_fract_y
_atom_site_fract_z
_atom_site_occupancy
Li1 0.000 0.000 0.000 1
Tb1 0.250 0.250 0.250 1
Ho1 0.000 0.000 0.500 1
# Magnetization in μB per formula unit: 0.00
# V in Å³/atom: 29.0

=====

Which one sits at the top of the stability order? 1 does.

=====

1:
# LiHo2Tc, relaxed, DFT GGA-PBE
data_LiHo2Tc
_space_group_name_H-M_alt 'F m -3 m'
_space_group_IT_number 225
_space_group_name_Hall '-F 4 2 3'
_cell_length_a 6.943
_cell_length_b 6.943
_cell_length_c 6.943
_cell_angle_alpha 90.00
_cell_angle_beta 90.00
_cell_angle_gamma 90.00
loop_
_atom_site_label
_atom_site_fract_x
_atom_site_fract_y
_atom_site_fract_z
_atom_site_occupancy
Li1 0.000 0.000 0.000 1
Ho1 0.250 0.250 0.250 1
Tc1 0.000 0.000 0.500 1
# Magnetization in μB per formula unit: 0.00
# V in Å³/atom: 20.9

=====

2:
# LiHo2Tc, relaxed, DFT GGA-PBE
data_LiHo2Tc
_space_group_name_H-M_alt 'R -3 m'
_space_group_IT_number 166
_space_group_name_Hall '-R 3 2"'
_cell_length_a 3.4213
_cell_length_b 3.4213
_cell_length_c 29.0905
_cell_angle_alpha 90.00
_cell_angle_beta 90.00
_cell_angle_gamma 120.00
loop_
_atom_site_label
_atom_site_fract_x
_atom_site_fract_y
_atom_site_fract_z
_atom_site_occupancy
Li1 0.0000 0.0000 0.0000 1
Ho1 0.0000 0.0000 0.2359 1
Tc1 0.0000 0.0000 0.5000 1
# Magnetization in μB per formula unit: 0.00
# V in Å³/atom: 24.6

=====

Which one sits at the top of the stability order? 1 does.

=====

1:
# LiHo3Te4, relaxed, DFT GGA-PBE
data_LiHo3Te4
_space_group_name_H-M_alt 'I 4/m m m'
_space_group_IT_number 139
_space_group_name_Hall '-I 4 2'
_cell_length_a 6.110
_cell_length_b 6.110
_cell_length_c 12.208
_cell_angle_alpha 90.00
_cell_angle_beta 90.00
_cell_angle_gamma 90.00
loop_
_atom_site_label
_atom_site_fract_x
_atom_site_fract_y
_atom_site_fract_z
_atom_site_occupancy
Li1 0.000 0.000 0.000 1
Ho1 0.000 0.000 0.500 1
Ho2 0.000 0.500 0.250 1
Te1 0.000 0.000 0.243 1
Te2 0.000 0.500 0.000 1
# Magnetization in μB per formula unit: 0.00
# V in Å³/atom: 28.5

=====

2:
# LiHo3Te4, relaxed, DFT GGA-PBE
data_LiHo3Te4
_space_group_name_H-M_alt 'P m m n'
_space_group_IT_number 59
_cell_length_a 6.089
_cell_length_b 9.776
_cell_length_c 8.865
_cell_angle_alpha 90.00
_cell_angle_beta 90.00
_cell_angle_gamma 90.00
loop_
_space_group_symop_operation_xyz
'x,y,z'
'-x,-y,-z'
'-x+1/2,-y+1/2,z'
'x+1/2,y+1/2,-z'
'x+1/2,-y,-z'
'-x+1/2,y,z'
'-x,y+1/2,-z'
'x,-y+1/2,z'
loop_
_atom_site_label
_atom_site_fract_x
_atom_site_fract_y
_atom_site_fract_z
_atom_site_occupancy
Li1 0.250 0.250 0.096 1
Ho1 0.250 0.545 0.659 1
Ho2 0.250 0.750 0.263 1
Te1 0.250 0.052 0.335 1
Te2 0.250 0.250 0.774 1
Te3 0.250 0.750 0.915 1
# Magnetization in μB per formula unit: 0.28
# V in Å³/atom: 33.0

=====

Which one sits at the top of the stability order? 1 does.